Material: TaMnS2
Method: DFT, PBE
State: relaxed

Cell: 5.968 5.968 5.968 Å, 90.00 90.00 90.00°
Space group Fm-3m (No. 225)
Inequivalent atoms, fractional coordinates:
Ta: 0.000 0.000 0.000 (multiplicity 4)
Mn: 0.000 0.000 0.500 (multiplicity 4)
S: 0.250 0.250 0.250 (multiplicity 8)

Output
Energy above the most stable polymorph in this dataset: 125.1 meV per atom
ρ: 9.373 g cm⁻³
Energy: -7.505 eV per atom

---

Material: TlAsPb2Cl
Method: DFT, PBE
State: relaxed

Cell: 5.902 5.902 5.240 Å, 90.00 90.00 90.00°
Space group P4/mmm (No. 123)
Inequivalent atoms, fractional coordinates:
Tl: 0.000 0.000 0.000 (multiplicity 1)
As: 0.500 0.500 0.500 (multiplicity 1)
Pb: 0.000 0.500 0.000 (multiplicity 2)
Cl: 0.000 0.000 0.500 (multiplicity 1)

Output
ρ: 6.634 g cm⁻³
Energy: -2.768 eV per atom

---

Material: CdBi3B
Method: DFT, PBE
State: relaxed

Cell: 5.655 5.655 5.655 Å, 90.00 90.00 90.00°
Space group Pm-3m (No. 221)
Inequivalent atoms, fractional coordinates:
Cd: 0.000 0.000 0.000 (multiplicity 1)
Bi: 0.000 0.000 0.500 (multiplicity 3)
B: 0.500 0.500 0.500 (multiplicity 1)

Output
Energy above the most stable polymorph in this dataset: 821.7 meV per atom
ρ: 6.888 g cm⁻³
DFT formation energy: 1.54 eV per atom
Energy: -2.303 eV per atom

---

Material: BaY3
Method: DFT, PBE
State: relaxed

Cell: 3.7605 3.7605 12.1470 Å, 90.00 90.00 120.00°
Space group P-6m2 (No. 187)
Inequivalent atoms, fractional coordinates:
Ba: 0.0000 0.0000 0.0000 (multiplicity 1)
Y: 0.0000 0.0000 0.5000 (multiplicity 1)
Y: 0.6667 0.3333 0.2732 (multiplicity 2)

Output
Energy above the most stable polymorph in this dataset: 0.0 meV per atom
ρ: 4.510 g cm⁻³
DFT formation energy: 0.14 eV per atom
Energy: -5.187 eV per atom